[1]
{
  "formula": "Li4MgIn2Pt",
  "functional": "GGA-PBE",
  "state": "optimized geometry",
  "cell": [[4.567, 0.000, 0.000], [0.000, 4.567, 0.000], [0.000, 0.000, 6.723]],
  "species": ["Li", "Li", "Li", "Li", "Mg", "In", "In", "Pt"],
  "frac_coords": [[0.000, 0.000, 0.000], [0.000, 0.500, 0.219], [0.500, 0.000, 0.781], [0.500, 0.500, 0.500], [0.000, 0.000, 0.500], [0.000, 0.500, 0.770], [0.500, 0.000, 0.230], [0.500, 0.500, 0.000]],
  "sg": "No. 115",
  "m_tot_mub_per_cell": 0.0,
  "crystal_system": "tetragonal",
  "final_energy_ev_per_atom": -2.97
}

=====

[2]
{
  "formula": "BeTePdO",
  "functional": "GGA-PBE",
  "state": "optimized geometry",
  "cell": [[6.181, 0.000, 0.000], [0.000, 6.561, 0.000], [0.000, 0.000, 7.272]],
  "species": ["Be", "Be", "Be", "Be", "Te", "Te", "Te", "Te", "Pd", "Pd", "Pd", "Pd", "O", "O", "O", "O"],
  "frac_coords": [[0.155, 0.051, 0.302], [0.345, 0.949, 0.802], [0.655, 0.449, 0.698], [0.845, 0.551, 0.198], [0.003, 0.561, 0.881], [0.497, 0.439, 0.381], [0.503, 0.939, 0.119], [0.997, 0.061, 0.619], [0.237, 0.754, 0.477], [0.263, 0.246, 0.977], [0.737, 0.746, 0.523], [0.763, 0.254, 0.023], [0.029, 0.148, 0.155], [0.471, 0.852, 0.655], [0.529, 0.352, 0.845], [0.971, 0.648, 0.345]],
  "sg": "No. 19",
  "crystal_system": "orthorhombic",
  "final_energy_ev_per_atom": -4.84
}

=====

[3]
{
  "formula": "ErWC3",
  "functional": "GGA-PBE",
  "state": "optimized geometry",
  "cell": [[5.963, 0.000, 0.000], [0.000, 3.196, 0.000], [-0.873, 0.000, 5.900]],
  "species": ["Er", "Er", "W", "W", "C", "C", "C", "C", "C", "C"],
  "frac_coords": [[0.245, 0.250, 0.396], [0.755, 0.750, 0.604], [0.306, 0.750, 0.885], [0.694, 0.250, 0.115], [0.003, 0.750, 0.061], [0.068, 0.250, 0.724], [0.490, 0.750, 0.226], [0.510, 0.250, 0.774], [0.932, 0.750, 0.276], [0.997, 0.250, 0.939]],
  "sg": "No. 11",
  "m_tot_mub_per_cell": 0.0,
  "crystal_system": "monoclinic",
  "final_energy_ev_per_atom": -8.88
}

=====

Repeat the second record exactly.
{
  "formula": "BeTePdO",
  "functional": "GGA-PBE",
  "state": "optimized geometry",
  "cell": [[6.181, 0.000, 0.000], [0.000, 6.561, 0.000], [0.000, 0.000, 7.272]],
  "species": ["Be", "Be", "Be", "Be", "Te", "Te", "Te", "Te", "Pd", "Pd", "Pd", "Pd", "O", "O", "O", "O"],
  "frac_coords": [[0.155, 0.051, 0.302], [0.345, 0.949, 0.802], [0.655, 0.449, 0.698], [0.845, 0.551, 0.198], [0.003, 0.561, 0.881], [0.497, 0.439, 0.381], [0.503, 0.939, 0.119], [0.997, 0.061, 0.619], [0.237, 0.754, 0.477], [0.263, 0.246, 0.977], [0.737, 0.746, 0.523], [0.763, 0.254, 0.023], [0.029, 0.148, 0.155], [0.471, 0.852, 0.655], [0.529, 0.352, 0.845], [0.971, 0.648, 0.345]],
  "sg": "No. 19",
  "crystal_system": "orthorhombic",
  "final_energy_ev_per_atom": -4.84
}